<w>
DFT (PBE) results for PaCd5 after structural relaxation.

Lattice parameters (Å, degrees): 4.6831 12.7714 4.7862 90.00 90.00 90.00
Last column: nearest neighbours and their distance in Å.
Space group Cmmm (No. 65)
Symmetry-distinct sites (fractional):
1 Pa 0.0000 0.0000 0.0000 (multiplicity 2)  12 Cd 3.21-3.35
2 Cd 0.0000 0.1675 0.5000 (multiplicity 4)  10 Cd 3.11-3.35, 2 Pa 3.21
3 Cd 0.0000 0.3231 0.0000 (multiplicity 4)  10 Cd 3.00-3.35, 2 Pa 3.25
4 Cd 0.0000 0.5000 0.5000 (multiplicity 2)  8 Cd 3.17-3.29, 4 Pa 3.35

<x>
DFT (PBE) results for PaCd5 after structural relaxation.

Lattice parameters (Å, degrees): 3.1077 3.1077 14.1034 90.00 90.00 90.00
Last column: nearest neighbours and their distance in Å.
Space group P4/mmm (No. 123)
Symmetry-distinct sites (fractional):
1 Pa 0.0000 0.0000 0.0000 (multiplicity 1)  4 Pa 3.11, 8 Cd 3.34
2 Cd 0.0000 0.0000 0.3397 (multiplicity 2)  12 Cd 3.11-3.16
3 Cd 0.5000 0.5000 0.1788 (multiplicity 2)  8 Cd 3.11-3.16, 4 Pa 3.34
4 Cd 0.5000 0.5000 0.5000 (multiplicity 1)  12 Cd 3.11-3.15

Energies relative to the most stable structure are <w> 56; <x> 0, reported in meV per atom.

<w>
DFT (PBE) results for PaCd3 after structural relaxation.

Lattice parameters (Å, degrees): 4.6292 4.6292 4.6292 90.00 90.00 90.00
Last column: nearest neighbours and their distance in Å.
Space group Pm-3m (No. 221)
Symmetry-distinct sites (fractional):
1 Pa 0.0000 0.0000 0.0000 (multiplicity 1)  12 Cd 3.27
2 Cd 0.0000 0.5000 0.5000 (multiplicity 3)  8 Cd 3.27, 4 Pa 3.27

<x>
DFT (PBE) results for PaCd3 after structural relaxation.

Lattice parameters (Å, degrees): 3.0436 5.2034 6.0944 90.00 90.00 90.00
Last column: nearest neighbours and their distance in Å.
Space group Pmm2 (No. 25)
Symmetry-distinct sites (fractional):
1 Pa 0.0000 0.0000 0.0000 (multiplicity 1)  2 Pa 3.04, 8 Cd 3.24-3.40
2 Cd 0.0000 0.5000 0.6722 (multiplicity 1)  8 Cd 3.04-3.27, 2 Pa 3.28
3 Cd 0.5000 0.0000 0.4992 (multiplicity 1)  8 Cd 3.04-3.19, 2 Pa 3.40
4 Cd 0.5000 0.5000 0.1972 (multiplicity 1)  6 Cd 3.04-3.27, 4 Pa 3.24

Energies relative to the most stable structure are <w> 59; <x> 0, reported in meV per atom.

<w>
DFT (PBE) results for PaCd3 after structural relaxation.

Lattice parameters (Å, degrees): 7.2589 7.2589 7.2589 90.00 90.00 90.00
Last column: nearest neighbours and their distance in Å.
Space group Fm-3m (No. 225)
Symmetry-distinct sites (fractional):
1 Pa 0.0000 0.0000 0.0000 (multiplicity 4)  8 Cd 3.14
2 Cd 0.0000 0.0000 0.5000 (multiplicity 4)  8 Cd 3.14
3 Cd 0.2500 0.2500 0.2500 (multiplicity 8)  4 Cd 3.14, 4 Pa 3.14

<x>
DFT (PBE) results for PaCd3 after structural relaxation.

Lattice parameters (Å, degrees): 3.1349 3.1349 10.9057 90.00 90.00 120.00
Last column: nearest neighbours and their distance in Å.
Space group P-6m2 (No. 187)
Symmetry-distinct sites (fractional):
1 Pa 0.0000 0.0000 0.0000 (multiplicity 1)  6 Pa 3.13, 6 Cd 3.37
2 Cd 0.3333 0.6667 0.2603 (multiplicity 2)  9 Cd 3.13-3.18, 3 Pa 3.37
3 Cd 0.6667 0.3333 0.5000 (multiplicity 1)  12 Cd 3.13-3.18

<y>
DFT (PBE) results for PaCd3 after structural relaxation.

Lattice parameters (Å, degrees): 2.9961 11.0374 5.8552 90.00 90.00 90.00
Last column: nearest neighbours and their distance in Å.
Space group Imm2 (No. 44)
Symmetry-distinct sites (fractional):
1 Pa 0.0000 0.0000 0.0000 (multiplicity 2)  2 Pa 3.00, 8 Cd 3.28-3.31
2 Cd 0.0000 0.2412 0.6242 (multiplicity 4)  8 Cd 3.00-3.29, 2 Pa 3.31
3 Cd 0.0000 0.5000 0.9981 (multiplicity 2)  6 Cd 3.00-3.14, 4 Pa 3.28-3.30

Energies relative to the most stable structure are <w> 157; <x> 0; <y> 149, reported in meV per atom.

<w>
DFT (PBE) results for Pa2Cd after structural relaxation.

Lattice parameters (Å, degrees): 3.7623 3.7623 10.5309 90.00 90.00 90.00
Last column: nearest neighbours and their distance in Å.
Space group I4/mmm (No. 139)
Symmetry-distinct sites (fractional):
1 Pa 0.0000 0.0000 0.1894 (multiplicity 4)  4 Pa 2.95, 1 Cd 3.27
2 Cd 0.0000 0.0000 0.5000 (multiplicity 2)  10 Pa 3.27-3.32

<x>
DFT (PBE) results for Pa2Cd after structural relaxation.

Lattice parameters (Å, degrees): 5.4222 3.1604 8.7388 90.00 100.40 90.00
Last column: nearest neighbours and their distance in Å.
Space group C2/m (No. 12)
Symmetry-distinct sites (fractional):
1 Pa 0.2405 0.0000 0.1679 (multiplicity 4)  8 Pa 3.14-3.35, 3 Cd 3.38-3.39
2 Cd 0.0000 0.0000 0.5000 (multiplicity 2)  6 Cd 3.14-3.16, 6 Pa 3.38-3.39

<y>
DFT (PBE) results for Pa2Cd after structural relaxation.

Lattice parameters (Å, degrees): 8.5335 8.5335 8.5335 90.00 90.00 90.00
Last column: nearest neighbours and their distance in Å.
Space group Fd-3m (No. 227, origin choice 2)
Symmetry-distinct sites (fractional):
1 Pa 0.0000 0.0000 0.0000 (multiplicity 16)  6 Pa 3.02
2 Cd 0.1250 0.1250 0.6250 (multiplicity 8)  12 Pa 3.54, 4 Cd 3.70

Energies relative to the most stable structure are <w> 226; <x> 0; <y> 344, reported in meV per atom.

<w>
DFT (PBE) results for PaCdPb after structural relaxation.

Lattice parameters (Å, degrees): 3.2175 5.6646 9.2579 72.35 80.00 89.99
Last column: nearest neighbours and their distance in Å.
Space group P1 (No. 1)
Symmetry-distinct sites (fractional):
1 Pa 0.0000 0.0000 0.0000 (multiplicity 1)  6 Pa 3.22-3.27, 2 Cd 3.34, 4 Pb 3.43-3.44
2 Pa 0.5001 0.4972 0.9998 (multiplicity 1)  6 Pa 3.22-3.27, 4 Cd 3.35, 2 Pb 3.43
3 Cd 0.1598 0.4849 0.6798 (multiplicity 1)  5 Pb 3.02-3.26, 2 Cd 3.22, 3 Pa 3.34-3.35
4 Cd 0.8419 0.1690 0.3199 (multiplicity 1)  5 Pb 3.02-3.26, 2 Cd 3.22, 3 Pa 3.34-3.35
5 Pb 0.3358 0.6634 0.3314 (multiplicity 1)  5 Cd 3.02-3.26, 2 Pb 3.22
6 Pb 0.6661 0.9913 0.6684 (multiplicity 1)  5 Cd 3.02-3.26, 2 Pb 3.22

<x>
DFT (PBE) results for PaCdPb after structural relaxation.

Lattice parameters (Å, degrees): 5.3423 5.3423 3.1393 90.00 90.00 120.00
Last column: nearest neighbours and their distance in Å.
Space group P3m1 (No. 156)
Symmetry-distinct sites (fractional):
1 Pa 0.0000 0.0000 0.0000 (multiplicity 1)  2 Pa 3.14, 6 Pb 3.46, 6 Cd 3.46
2 Cd 0.3333 0.6667 0.5012 (multiplicity 1)  3 Pb 3.08, 2 Cd 3.14
3 Pb 0.6667 0.3333 0.4986 (multiplicity 1)  3 Cd 3.08, 2 Pb 3.14

Energies relative to the most stable structure are <w> 0; <x> 96, reported in meV per atom.

<w>
DFT (PBE) results for PaCdPd after structural relaxation.

Lattice parameters (Å, degrees): 3.1175 3.1175 7.4845 90.00 90.00 120.00
Last column: nearest neighbours and their distance in Å.
Space group P3m1 (No. 156)
Symmetry-distinct sites (fractional):
1 Pa 0.0000 0.0000 0.0000 (multiplicity 1)  3 Pd 3.00, 6 Pa 3.12
2 Cd 0.3333 0.6667 0.6207 (multiplicity 1)  3 Pd 2.88, 6 Cd 3.12
3 Pd 0.6667 0.3333 0.3201 (multiplicity 1)  3 Cd 2.88, 3 Pa 3.00, 6 Pd 3.12

<x>
DFT (PBE) results for PaCdPd after structural relaxation.

Lattice parameters (Å, degrees): 3.3653 5.1114 14.7951 90.00 90.00 90.00
Last column: nearest neighbours and their distance in Å.
Space group Fmm2 (No. 42)
Symmetry-distinct sites (fractional):
1 Pa 0.0000 0.0000 0.0000 (multiplicity 4)  2 Pd 2.85, 4 Pa 3.06
2 Cd 0.0000 0.0000 0.3095 (multiplicity 4)  2 Pd 2.83, 4 Cd 3.06
3 Pd 0.0000 0.0000 0.6555 (multiplicity 4)  2 Cd 2.83, 2 Pa 2.85, 4 Pd 3.06

Energies relative to the most stable structure are <w> 0; <x> 40, reported in meV per atom.

<w>
DFT (PBE) results for PaCdPd after structural relaxation.

Lattice parameters (Å, degrees): 3.2434 3.2434 12.0684 90.00 90.00 90.00
Last column: nearest neighbours and their distance in Å.
Space group I4mm (No. 107)
Symmetry-distinct sites (fractional):
1 Pa 0.0000 0.0000 0.0000 (multiplicity 2)  4 Pd 2.93, 4 Pa 3.24
2 Cd 0.0000 0.0000 0.7010 (multiplicity 2)  4 Pd 2.91, 4 Cd 3.24
3 Pd 0.0000 0.0000 0.3496 (multiplicity 2)  4 Cd 2.91, 4 Pa 2.93, 4 Pd 3.24

<x>
DFT (PBE) results for PaCdPd after structural relaxation.

Lattice parameters (Å, degrees): 6.6625 6.6625 6.6625 90.00 90.00 90.00
Last column: nearest neighbours and their distance in Å.
Space group F-43m (No. 216)
Symmetry-distinct sites (fractional):
1 Pa 0.0000 0.0000 0.0000 (multiplicity 4)  4 Pd 2.88
2 Cd 0.0000 0.0000 0.5000 (multiplicity 4)  4 Pd 2.88
3 Pd 0.2500 0.2500 0.2500 (multiplicity 4)  4 Cd 2.88, 4 Pa 2.88

<y>
DFT (PBE) results for PaCdPd after structural relaxation.

Lattice parameters (Å, degrees): 3.6598 15.1725 4.5233 90.00 90.00 90.00
Last column: nearest neighbours and their distance in Å.
Space group Cmcm (No. 63)
Symmetry-distinct sites (fractional):
1 Pa 0.0000 0.0610 0.2500 (multiplicity 4)  2 Pa 2.92, 6 Pd 2.99-3.14
2 Cd 0.0000 0.2546 0.7500 (multiplicity 4)  4 Pd 2.89-3.09, 4 Cd 2.91
3 Pd 0.0000 0.3931 0.2500 (multiplicity 4)  4 Cd 2.89-3.09, 6 Pa 2.99-3.14

Energies relative to the most stable structure are <w> 15; <x> 184; <y> 0, reported in meV per atom.

<w>
DFT (PBE) results for PaCdPd2 after structural relaxation.

Lattice parameters (Å, degrees): 3.0782 3.0782 28.3069 90.00 90.00 120.00
Last column: nearest neighbours and their distance in Å.
Space group R-3m (No. 166, hexagonal axes)
Symmetry-distinct sites (fractional):
1 Pa 0.0000 0.0000 0.0000 (multiplicity 3)  6 Pd 3.02, 6 Pa 3.08
2 Cd 0.0000 0.0000 0.5000 (multiplicity 3)  6 Pd 2.89, 6 Cd 3.08
3 Pd 0.0000 0.0000 0.2471 (multiplicity 6)  3 Cd 2.89, 3 Pa 3.02, 6 Pd 3.08

<x>
DFT (PBE) results for PaCdPd2 after structural relaxation.

Lattice parameters (Å, degrees): 6.8414 6.8414 6.8414 90.00 90.00 90.00
Last column: nearest neighbours and their distance in Å.
Space group Fm-3m (No. 225)
Symmetry-distinct sites (fractional):
1 Pa 0.0000 0.0000 0.0000 (multiplicity 4)  8 Pd 2.96
2 Cd 0.0000 0.0000 0.5000 (multiplicity 4)  8 Pd 2.96
3 Pd 0.2500 0.2500 0.2500 (multiplicity 8)  4 Cd 2.96, 4 Pa 2.96

Energies relative to the most stable structure are <w> 209; <x> 0, reported in meV per atom.